1.
VASP calculation (PBE-GGA) on a relaxed structure of FeP2.

The calculated density is 4.872 g/cm³. The formation energy from the elements is 0.25 eV per atom.

It has space group P4/mmm (No. 123), with a = 3.822 Å, b = 3.822 Å, c = 2.749 Å, α = 90.00°, β = 90.00° and γ = 90.00°. The asymmetric unit holds Fe at (0.000, 0.000, 0.000) and P at (0.000, 0.500, 0.500).

***

2.
VASP calculation (PBE-GGA) on a relaxed structure of Ho2Er9Mg.

The calculated density is 8.553 g/cm³. The formation energy from the elements is 0.02 eV per atom.

It has space group P4/mmm (No. 123), with a = 4.933 Å, b = 4.933 Å, c = 14.837 Å, α = 90.00°, β = 90.00° and γ = 90.00°. The asymmetric unit holds Ho at (0.000, 0.000, 0.168), Er at (0.000, 0.500, 0.000), Er at (0.000, 0.500, 0.335), Er at (0.500, 0.500, 0.171), Er at (0.500, 0.500, 0.500) and Mg at (0.000, 0.000, 0.500).

***

3.
VASP calculation (PBE-GGA) on a relaxed structure of ScCr2Os2.

The energy above the lowest structure with this stoichiometry comes out at 0.0000 eV/atom. The calculated density is 11.920 g/cm³. The formation energy from the elements is 0.06 eV per atom.

It has space group P4/mbm (No. 127), with a = 7.312 Å, b = 7.312 Å, c = 2.759 Å, α = 90.00°, β = 90.00° and γ = 90.00°. The asymmetric unit holds Sc at (0.000, 0.000, 0.000), Cr at (0.146, 0.354, 0.000) and Os at (0.147, 0.647, 0.500).

***

4.
VASP calculation (PBE-GGA) on a relaxed structure of PuMg4.

The calculated density is 2.640 g/cm³. The formation energy from the elements is 1.21 eV per atom.

It has space group Pm-3m (No. 221), with a = 5.987 Å, b = 5.987 Å, c = 5.987 Å, α = 90.00°, β = 90.00° and γ = 90.00°. The asymmetric unit holds Pu at (0.000, 0.000, 0.000), Mg at (0.000, 0.000, 0.500) and Mg at (0.500, 0.500, 0.500).

***

5.
VASP calculation (PBE-GGA) on a relaxed structure of Cs3UMn2Se6.

The calculated density is 4.009 g/cm³.

It has space group P-3m1 (No. 164), with a = 7.9243 Å, b = 7.9243 Å, c = 9.2961 Å, α = 90.00°, β = 90.00° and γ = 120.00°. The asymmetric unit holds Cs at (0.0000, 0.0000, 0.0000), Cs at (0.3333, 0.6667, 0.6779), U at (0.0000, 0.0000, 0.5000), Mn at (0.3333, 0.6667, 0.2939) and Se at (0.1592, 0.3185, 0.3168).

***

6.
VASP calculation (PBE-GGA) on a relaxed structure of ZnSiBr2.

The energy above the lowest structure with this stoichiometry comes out at 0.2636 eV/atom. The calculated density is 4.160 g/cm³.

It has space group R-3m (No. 166, hexagonal axes), with a = 3.6301 Å, b = 3.6301 Å, c = 26.5790 Å, α = 90.00°, β = 90.00° and γ = 120.00°. The asymmetric unit holds Zn at (0.0000, 0.0000, 0.0000), Si at (0.0000, 0.0000, 0.5000) and Br at (0.0000, 0.0000, 0.3959).

***

no.,raw total energy (eV/atom)
1,-6.18
2,-4.29
3,-9.54
4,-2.93
5,-5.30
6,-2.41